Here is a relaxed TiIrSe2 crystal from Alexandria via LeMat-Bulk. Energies are from PBE.

Output
SG   No. 166
Excess energy over the best structure of this formula in the dataset   0.346 eV per atom
E_form (uncorrected)   46 meV/atom

```
12
Lattice="3.662 0.000 0.000 -1.831 3.171 0.000 0.000 0.000 23.362" Properties=species:S:1:pos:R:3 pbc="T T T"
Ti 0.000 0.000 0.000
Ti 0.000 2.114 15.575
Ti 1.831 1.057 7.787
Ir 0.000 0.000 11.681
Ir 0.000 2.114 3.894
Ir 1.831 1.057 19.468
Se 0.000 0.000 2.562
Se 0.000 0.000 20.800
Se 0.000 2.114 13.013
Se 0.000 2.114 18.137
Se 1.831 1.057 5.226
Se 1.831 1.057 10.349
```


Here is a relaxed TiIrSe2 crystal from Alexandria via LeMat-Bulk. Energies are from PBE.

Output
SG   No. 122
Excess energy over the best structure of this formula in the dataset   0.002 eV per atom
E_form (uncorrected)   -298 meV/atom

```
16
Lattice="4.508 0.000 0.000 0.000 4.508 0.000 0.000 0.000 15.226" Properties=species:S:1:pos:R:3 pbc="T T T"
Ti 0.000 0.000 0.000
Ti 0.000 2.254 3.807
Ti 2.254 0.000 11.420
Ti 2.254 2.254 7.613
Ir 0.000 0.000 7.613
Ir 0.000 2.254 11.420
Ir 2.254 0.000 3.807
Ir 2.254 2.254 0.000
Se 1.105 1.127 9.516
Se 1.127 3.359 13.323
Se 1.127 3.404 5.710
Se 1.149 1.127 1.903
Se 3.359 3.381 1.903
Se 3.381 1.105 5.710
Se 3.381 1.149 13.323
Se 3.404 3.381 9.516
```


Here is a relaxed TiIrSe2 crystal from Alexandria via LeMat-Bulk. Energies are from PBE.

Output
SG   No. 166
Excess energy over the best structure of this formula in the dataset   0.000 eV per atom
E_form (uncorrected)   -300 meV/atom

```
12
Lattice="3.197 0.000 0.000 -1.598 2.769 0.000 0.000 0.000 24.632" Properties=species:S:1:pos:R:3 pbc="T T T"
Ti 0.000 0.000 0.000
Ti 0.000 1.846 16.421
Ti 1.598 0.923 8.211
Ir 0.000 0.000 12.316
Ir 0.000 1.846 4.105
Ir 1.598 0.923 20.527
Se 0.000 0.000 9.929
Se 0.000 0.000 14.703
Se 0.000 1.846 1.718
Se 0.000 1.846 6.493
Se 1.598 0.923 18.139
Se 1.598 0.923 22.914
```


Here is a relaxed Ti2IrSe crystal from Alexandria via LeMat-Bulk. Energies are from PBE.

Output
SG   No. 122
E_form (uncorrected)   -388 meV/atom

```
16
Lattice="6.903 0.000 0.000 0.000 6.903 0.000 0.000 0.000 5.777" Properties=species:S:1:pos:R:3 pbc="T T T"
Ti 1.690 1.726 0.722
Ti 1.726 5.142 2.166
Ti 1.726 5.213 5.055
Ti 1.761 1.726 3.610
Ti 5.142 5.177 3.610
Ti 5.177 1.690 5.055
Ti 5.177 1.761 2.166
Ti 5.213 5.177 0.722
Ir 0.000 0.000 0.000
Ir 0.000 3.451 1.444
Ir 3.451 0.000 4.333
Ir 3.451 3.451 2.888
Se 0.000 0.000 2.888
Se 0.000 3.451 4.333
Se 3.451 0.000 1.444
Se 3.451 3.451 0.000
```